Entry from Alexandria via LeMat-Bulk: ScBe4 after structural relaxation (GGA-PBE).

Cell lengths 4.6547, 4.6547, 4.6547 Å; angles 90.00, 90.00, 90.00 degrees
Sites, in units of the cell vectors:
Sc: 0.0000 0.0000 0.0000
Be: 0.0000 0.0000 0.5000
Be: 0.0000 0.5000 0.0000
Be: 0.5000 0.0000 0.0000
Be: 0.5000 0.5000 0.5000

## Properties
ΔH_f (0 K): 10.8 eV per formula unit
SG: Pm-3m (221)
Calculated density: 1.334 g cm⁻³
Energy above the lowest structure with this stoichiometry: 2.2191 eV/atom

=====

Entry from Alexandria via LeMat-Bulk: Sc3Be5 after structural relaxation (GGA-PBE).

Cell lengths 8.5409, 8.5409, 3.8008 Å; angles 90.00, 90.00, 120.00 degrees
Sites, in units of the cell vectors:
Sc: 0.0000 0.3612 0.2500
Sc: 0.0000 0.6388 0.7500
Sc: 0.3612 0.0000 0.2500
Sc: 0.3612 0.3612 0.7500
Sc: 0.6388 0.0000 0.7500
Sc: 0.6388 0.6388 0.2500
Be: 0.0000 0.1420 0.7500
Be: 0.0000 0.8580 0.2500
Be: 0.1420 0.0000 0.7500
Be: 0.1420 0.1420 0.2500
Be: 0.3333 0.6667 0.0000
Be: 0.3333 0.6667 0.5000
Be: 0.6667 0.3333 0.0000
Be: 0.6667 0.3333 0.5000
Be: 0.8580 0.0000 0.2500
Be: 0.8580 0.8580 0.7500

## Properties
ΔH_f (0 K): 1.2 eV per formula unit
SG: P6_3/mcm (193)
Calculated density: 2.489 g cm⁻³
Energy above the lowest structure with this stoichiometry: 0.1538 eV/atom

=====

Entry from Alexandria via LeMat-Bulk: Sc2Be3 after structural relaxation (GGA-PBE).

Cell lengths 3.9042, 3.9042, 17.5659 Å; angles 90.00, 90.00, 120.00 degrees
Sites, in units of the cell vectors:
Sc: 0.0000 0.0000 0.0864
Sc: 0.0000 0.0000 0.9136
Sc: 0.3333 0.6667 0.5803
Sc: 0.3333 0.6667 0.7530
Sc: 0.6667 0.3333 0.2470
Sc: 0.6667 0.3333 0.4197
Be: 0.0000 0.0000 0.3399
Be: 0.0000 0.0000 0.5000
Be: 0.0000 0.0000 0.6601
Be: 0.3333 0.6667 0.0065
Be: 0.3333 0.6667 0.1667
Be: 0.3333 0.6667 0.3268
Be: 0.6667 0.3333 0.6732
Be: 0.6667 0.3333 0.8333
Be: 0.6667 0.3333 0.9935

## Properties
ΔH_f (0 K): 0.5 eV per formula unit
SG: R-3m (166)
Calculated density: 2.512 g cm⁻³
Energy above the lowest structure with this stoichiometry: 0.1641 eV/atom

=====

Entry from Alexandria via LeMat-Bulk: Sc2Be3 after structural relaxation (GGA-PBE).

Cell lengths 7.3677, 4.8385, 8.0353 Å; angles 64.32, 36.29, 79.39 degrees
Sites, in units of the cell vectors:
Sc: 0.2178 0.7822 0.3789
Sc: 0.6289 0.8711 0.4678
Sc: 0.7822 0.2178 0.6211
Sc: 0.8711 0.6289 0.0322
Be: 0.2100 0.3002 0.0364
Be: 0.2136 0.7966 0.0400
Be: 0.2483 0.2483 0.7517
Be: 0.3002 0.2100 0.4534
Be: 0.4983 0.4983 0.0017
Be: 0.7966 0.2136 0.9498

## Properties
ΔH_f (0 K): -0.2 eV per formula unit
SG: Fdd2 (43)
Calculated density: 2.673 g cm⁻³
Energy above the lowest structure with this stoichiometry: 0.0323 eV/atom

=====

Entry from Alexandria via LeMat-Bulk: Sc4Be5 after structural relaxation (GGA-PBE).

Cell lengths 6.3839, 6.3839, 6.3839 Å; angles 95.28, 95.28, 144.67 degrees
Sites, in units of the cell vectors:
Sc: 0.0000 0.3018 0.3018
Sc: 0.0000 0.6982 0.6982
Sc: 0.3018 0.0000 0.3018
Sc: 0.6982 0.0000 0.6982
Be: 0.0000 0.0000 0.0000
Be: 0.3737 0.3737 0.7474
Be: 0.3737 0.6263 0.0000
Be: 0.6263 0.3737 0.0000
Be: 0.6263 0.6263 0.2526

## Properties
ΔH_f (0 K): 1.3 eV per formula unit
SG: I4/mmm (139)
Calculated density: 2.605 g cm⁻³
Energy above the lowest structure with this stoichiometry: 0.0000 eV/atom

=====

Entry from Alexandria via LeMat-Bulk: ScBe4 after structural relaxation (GGA-PBE).

Cell lengths 5.8179, 5.8179, 5.8179 Å; angles 90.00, 90.00, 90.00 degrees
Sites, in units of the cell vectors:
Sc: 0.0000 0.0000 0.0000
Sc: 0.5000 0.5000 0.5000
Be: 0.2500 0.2500 0.2500
Be: 0.2500 0.2500 0.7500
Be: 0.2500 0.7500 0.2500
Be: 0.2500 0.7500 0.7500
Be: 0.7500 0.2500 0.2500
Be: 0.7500 0.2500 0.7500
Be: 0.7500 0.7500 0.2500
Be: 0.7500 0.7500 0.7500

## Properties
ΔH_f (0 K): 8.3 eV per formula unit
SG: Im-3m (229)
Calculated density: 1.366 g cm⁻³
Energy above the lowest structure with this stoichiometry: 1.7214 eV/atom

=====

Entry from Alexandria via LeMat-Bulk: Sc3Be5 after structural relaxation (GGA-PBE).

Cell lengths 5.3444, 6.6847, 6.7383 Å; angles 77.98, 77.84, 76.49 degrees
Sites, in units of the cell vectors:
Sc: 0.0766 0.0431 0.1923
Sc: 0.1743 0.2990 0.5432
Sc: 0.2198 0.5265 0.0791
Sc: 0.7802 0.4735 0.9209
Sc: 0.8257 0.7010 0.4568
Sc: 0.9234 0.9569 0.8077
Be: 0.2968 0.6313 0.6880
Be: 0.3610 0.9157 0.4707
Be: 0.3817 0.6269 0.3719
Be: 0.4184 0.1783 0.8852
Be: 0.4517 0.8693 0.7902
Be: 0.5483 0.1307 0.2098
Be: 0.5816 0.8217 0.1148
Be: 0.6183 0.3731 0.6281
Be: 0.6390 0.0843 0.5293
Be: 0.7032 0.3687 0.3120

## Properties
ΔH_f (0 K): 0.0 eV per formula unit
SG: P-1 (2)
Calculated density: 2.649 g cm⁻³
Energy above the lowest structure with this stoichiometry: 0.0000 eV/atom

=====

Entry from Alexandria via LeMat-Bulk: ScBe5 after structural relaxation (GGA-PBE).

Cell lengths 3.5081, 2.4942, 14.7579 Å; angles 90.00, 90.00, 90.00 degrees
Sites, in units of the cell vectors:
Sc: 0.0000 0.0000 0.0000
Sc: 0.0000 0.5000 0.5000
Be: 0.0000 0.0000 0.3088
Be: 0.0000 0.0000 0.6807
Be: 0.0000 0.5000 0.1807
Be: 0.0000 0.5000 0.8088
Be: 0.5000 0.0000 0.1552
Be: 0.5000 0.0000 0.3970
Be: 0.5000 0.0000 0.7781
Be: 0.5000 0.5000 0.2781
Be: 0.5000 0.5000 0.6552
Be: 0.5000 0.5000 0.8970

## Properties
ΔH_f (0 K): 0.9 eV per formula unit
SG: Amm2 (38)
Calculated density: 2.315 g cm⁻³
Energy above the lowest structure with this stoichiometry: 0.3531 eV/atom

=====

Entry from Alexandria via LeMat-Bulk: ScBe5 after structural relaxation (GGA-PBE).

Cell lengths 10.0921, 2.3267, 5.5413 Å; angles 90.00, 105.22, 90.00 degrees
Sites, in units of the cell vectors:
Sc: 0.0000 0.0000 0.0000
Sc: 0.5000 0.5000 0.0000
Be: 0.0000 0.0000 0.5000
Be: 0.1667 0.5000 0.3980
Be: 0.2141 0.5000 0.8193
Be: 0.2859 0.0000 0.1807
Be: 0.3333 0.0000 0.6020
Be: 0.5000 0.5000 0.5000
Be: 0.6667 0.0000 0.3980
Be: 0.7141 0.0000 0.8193
Be: 0.7859 0.5000 0.1807
Be: 0.8333 0.5000 0.6020

## Properties
ΔH_f (0 K): 0.9 eV per formula unit
SG: C2/m (12)
Calculated density: 2.381 g cm⁻³
Energy above the lowest structure with this stoichiometry: 0.3518 eV/atom

=====

Entry from Alexandria via LeMat-Bulk: ScBe5 after structural relaxation (GGA-PBE).

Cell lengths 4.5228, 4.5228, 3.5194 Å; angles 90.00, 90.00, 120.00 degrees
Sites, in units of the cell vectors:
Sc: 0.0000 0.0000 0.0000
Be: 0.0000 0.5000 0.5000
Be: 0.3333 0.6667 0.0000
Be: 0.5000 0.0000 0.5000
Be: 0.5000 0.5000 0.5000
Be: 0.6667 0.3333 0.0000

## Properties
ΔH_f (0 K): -1.2 eV per formula unit
SG: P6/mmm (191)
Calculated density: 2.397 g cm⁻³
Energy above the lowest structure with this stoichiometry: 0.0000 eV/atom

=====

Entry from Alexandria via LeMat-Bulk: ScBe5 after structural relaxation (GGA-PBE).

Cell lengths 3.9826, 8.4101, 3.8136 Å; angles 90.00, 90.00, 90.00 degrees
Sites, in units of the cell vectors:
Sc: 0.0000 0.0000 0.0000
Sc: 0.5000 0.5000 0.0000
Be: 0.0000 0.2143 0.5000
Be: 0.0000 0.3173 0.0000
Be: 0.0000 0.5000 0.5000
Be: 0.0000 0.6827 0.0000
Be: 0.0000 0.7857 0.5000
Be: 0.5000 0.0000 0.5000
Be: 0.5000 0.1827 0.0000
Be: 0.5000 0.2857 0.5000
Be: 0.5000 0.7143 0.5000
Be: 0.5000 0.8173 0.0000

## Properties
ΔH_f (0 K): 0.9 eV per formula unit
SG: Cmmm (65)
Calculated density: 2.340 g cm⁻³
Energy above the lowest structure with this stoichiometry: 0.3634 eV/atom

=====

Entry from Alexandria via LeMat-Bulk: ScBe5 after structural relaxation (GGA-PBE).

Cell lengths 4.4965, 4.4965, 4.4965 Å; angles 60.00, 60.00, 60.00 degrees
Sites, in units of the cell vectors:
Sc: 0.0000 0.0000 0.0000
Be: 0.3741 0.3741 0.3741
Be: 0.3741 0.3741 0.8776
Be: 0.3741 0.8776 0.3741
Be: 0.7500 0.7500 0.7500
Be: 0.8776 0.3741 0.3741

## Properties
ΔH_f (0 K): 0.5 eV per formula unit
SG: F-43m (216)
Calculated density: 2.325 g cm⁻³
Energy above the lowest structure with this stoichiometry: 0.2892 eV/atom

=====

Entry from Alexandria via LeMat-Bulk: Sc5Be4 after structural relaxation (GGA-PBE).

Cell lengths 7.9007, 7.9007, 5.8064 Å; angles 90.00, 90.00, 120.00 degrees
Sites, in units of the cell vectors:
Sc: 0.0000 0.2899 0.2500
Sc: 0.0000 0.7101 0.7500
Sc: 0.2899 0.0000 0.2500
Sc: 0.2899 0.2899 0.7500
Sc: 0.3333 0.6667 0.0000
Sc: 0.3333 0.6667 0.5000
Sc: 0.6667 0.3333 0.0000
Sc: 0.6667 0.3333 0.5000
Sc: 0.7101 0.0000 0.7500
Sc: 0.7101 0.7101 0.2500
Be: 0.0000 0.0000 0.0000
Be: 0.0000 0.0000 0.5000
Be: 0.0000 0.3664 0.7500
Be: 0.0000 0.6336 0.2500
Be: 0.3664 0.0000 0.7500
Be: 0.3664 0.3664 0.2500
Be: 0.6336 0.0000 0.2500
Be: 0.6336 0.6336 0.7500

## Properties
ΔH_f (0 K): 0.9 eV per formula unit
SG: P6_3/mcm (193)
Calculated density: 2.760 g cm⁻³
Energy above the lowest structure with this stoichiometry: 0.0000 eV/atom

=====

Sequential size of the total moment output: 1.205; 0.000; 0.000; 0.000; 0.003; 0.002; 0.000; 0.000; 0.000; 0.000; 0.000; 0.000; 0.000 μB per cell